Record 1
# MgAsPd4 | Alexandria | GGA-PBE | relaxed
data_MgAsPd4
_space_group_name_H-M_alt 'P 1'
_space_group_IT_number 1
_space_group_name_Hall 'P 1'
_cell_length_a 4.611
_cell_length_b 5.093
_cell_length_c 8.207
_cell_angle_alpha 90.00
_cell_angle_beta 90.00
_cell_angle_gamma 90.00
loop_
_atom_site_label
_atom_site_fract_x
_atom_site_fract_y
_atom_site_fract_z
Mg1 0.000 0.657 0.000
Mg2 0.000 0.157 0.500
As1 0.500 0.066 0.000
As2 0.500 0.566 0.500
Pd1 0.995 0.159 0.167
Pd2 0.495 0.980 0.325
Pd3 0.495 0.480 0.175
Pd4 0.995 0.659 0.333
Pd5 0.505 0.480 0.825
Pd6 0.005 0.659 0.667
Pd7 0.005 0.159 0.833
Pd8 0.505 0.980 0.675
# E_form: -0.425 eV per atom
# Polymorph energy (0 for the lowest one): 0 meV/atom
# Density of states at the Fermi level: 4.8 states/eV per cell


Record 2
# Sc4Bi2Ru | Alexandria | GGA-PBE | relaxed
data_Sc4Bi2Ru
_space_group_name_H-M_alt 'P 1'
_space_group_IT_number 1
_space_group_name_Hall 'P 1'
_cell_length_a 4.878
_cell_length_b 4.878
_cell_length_c 8.458
_cell_angle_alpha 73.24
_cell_angle_beta 73.24
_cell_angle_gamma 90.00
loop_
_atom_site_label
_atom_site_fract_x
_atom_site_fract_y
_atom_site_fract_z
Sc1 0.167 0.167 0.666
Sc2 0.833 0.833 0.334
Sc3 0.000 0.500 0.000
Sc4 0.500 0.000 0.000
Ru1 0.000 0.000 0.000
Bi1 0.359 0.359 0.281
Bi2 0.641 0.641 0.719
# E_form: -0.377 eV per atom
# Density of states at the Fermi level: 6.1 states/eV per cell


Record 3
# Ti2TlGaO6 | Alexandria | GGA-PBE | relaxed
data_Ti2TlGaO6
_space_group_name_H-M_alt 'P 1'
_space_group_IT_number 1
_space_group_name_Hall 'P 1'
_cell_length_a 6.244
_cell_length_b 7.579
_cell_length_c 7.579
_cell_angle_alpha 103.99
_cell_angle_beta 77.17
_cell_angle_gamma 77.17
loop_
_atom_site_label
_atom_site_fract_x
_atom_site_fract_y
_atom_site_fract_z
Ti1 0.349 0.721 0.564
Ti2 0.151 0.436 0.279
Ti3 0.651 0.279 0.436
Ti4 0.849 0.564 0.721
Tl1 0.250 0.897 0.103
Tl2 0.750 0.103 0.897
Ga1 0.250 0.207 0.793
Ga2 0.750 0.793 0.207
O1 0.240 0.955 0.741
O2 0.260 0.259 0.045
O3 0.760 0.045 0.259
O4 0.740 0.741 0.955
O5 0.482 0.778 0.355
O6 0.018 0.645 0.222
O7 0.518 0.222 0.645
O8 0.982 0.355 0.778
O9 0.064 0.655 0.588
O10 0.436 0.412 0.345
O11 0.936 0.345 0.412
O12 0.564 0.588 0.655
# Density of states at the Fermi level: 0.0 states/eV per cell
# E_form (uncorrected): -2289 kJ/mol of formula units


Record 4
# NiSn2RuS | Alexandria | GGA-PBE | relaxed
data_NiSn2RuS
_space_group_name_H-M_alt 'P 1'
_space_group_IT_number 1
_space_group_name_Hall 'P 1'
_cell_length_a 4.750
_cell_length_b 4.790
_cell_length_c 4.750
_cell_angle_alpha 90.00
_cell_angle_beta 90.00
_cell_angle_gamma 90.00
loop_
_atom_site_label
_atom_site_fract_x
_atom_site_fract_y
_atom_site_fract_z
Ru1 0.000 0.500 0.000
S1 0.500 0.500 0.500
Sn1 0.000 0.000 0.500
Sn2 0.500 0.000 0.000
Ni1 0.000 0.000 0.000
# Density of states at the Fermi level: 4.8 states/eV per cell
# E_form (uncorrected): 338 kJ/mol of formula units


Record 5
# Rb5Sn3Br12 | Alexandria | GGA-PBE | relaxed
data_Rb5Sn3Br12
_space_group_name_H-M_alt 'P 1'
_space_group_IT_number 1
_space_group_name_Hall 'P 1'
_cell_length_a 17.251
_cell_length_b 17.251
_cell_length_c 17.251
_cell_angle_alpha 109.47
_cell_angle_beta 109.47
_cell_angle_gamma 109.47
loop_
_atom_site_label
_atom_site_fract_x
_atom_site_fract_y
_atom_site_fract_z
Sn1 0.750 0.375 0.125
Sn2 0.875 0.750 0.125
Sn3 0.375 0.750 0.625
Sn4 0.250 0.125 0.375
Sn5 0.875 0.125 0.250
Sn6 0.375 0.625 0.250
Sn7 0.625 0.375 0.750
Sn8 0.125 0.875 0.750
Sn9 0.750 0.875 0.625
Sn10 0.625 0.250 0.375
Sn11 0.125 0.250 0.875
Sn12 0.250 0.625 0.875
Rb1 0.125 0.375 0.250
Rb2 0.000 0.500 0.000
Rb3 0.000 0.000 0.000
Rb4 0.375 0.250 0.125
Rb5 0.500 0.000 0.500
Rb6 0.500 0.500 0.000
Rb7 0.125 0.750 0.375
Rb8 0.750 0.125 0.875
Rb9 0.750 0.625 0.375
Rb10 0.375 0.125 0.750
Rb11 0.625 0.875 0.250
Rb12 0.500 0.500 0.500
Rb13 0.500 0.000 0.000
Rb14 0.000 0.000 0.500
Rb15 0.250 0.375 0.625
Rb16 0.250 0.875 0.125
Rb17 0.000 0.500 0.500
Rb18 0.875 0.250 0.625
Rb19 0.625 0.750 0.875
Rb20 0.875 0.625 0.750
Br1 0.615 0.186 0.979
Br2 0.364 0.479 0.293
Br3 0.021 0.314 0.385
Br4 0.479 0.115 0.186
Br5 0.429 0.615 0.636
Br6 0.021 0.707 0.136
Br7 0.364 0.885 0.571
Br8 0.207 0.071 0.186
Br9 0.707 0.021 0.636
Br10 0.615 0.429 0.136
Br11 0.885 0.521 0.314
Br12 0.864 0.793 0.979
Br13 0.186 0.615 0.479
Br14 0.314 0.293 0.929
Br15 0.929 0.793 0.314
Br16 0.571 0.186 0.707
Br17 0.929 0.136 0.115
Br18 0.521 0.636 0.207
Br19 0.864 0.071 0.385
Br20 0.186 0.571 0.207
Br21 0.314 0.021 0.885
Br22 0.707 0.686 0.571
Br23 0.793 0.864 0.479
Br24 0.885 0.364 0.071
Br25 0.293 0.314 0.429
Br26 0.207 0.136 0.521
Br27 0.115 0.636 0.929
Br28 0.136 0.929 0.615
Br29 0.686 0.979 0.115
Br30 0.814 0.429 0.793
Br31 0.479 0.364 0.793
Br32 0.429 0.814 0.293
Br33 0.071 0.864 0.885
Br34 0.071 0.207 0.686
Br35 0.814 0.385 0.521
Br36 0.136 0.207 0.021
Br37 0.686 0.707 0.071
Br38 0.293 0.979 0.364
Br39 0.385 0.571 0.864
Br40 0.115 0.479 0.686
Br41 0.793 0.929 0.814
Br42 0.636 0.115 0.429
Br43 0.521 0.885 0.814
Br44 0.979 0.293 0.864
Br45 0.571 0.385 0.364
Br46 0.979 0.686 0.615
Br47 0.636 0.521 0.707
Br48 0.385 0.814 0.021
# Density of states at the Fermi level: 73.4 states/eV per cell
# E_form (uncorrected): -2198 kJ/mol of formula units


Record 6
# Pm5Pr2ErTh | Alexandria | GGA-PBE | relaxed
data_Pm5Pr2ErTh
_space_group_name_H-M_alt 'P 1'
_space_group_IT_number 1
_space_group_name_Hall 'P 1'
_cell_length_a 5.710
_cell_length_b 10.727
_cell_length_c 10.630
_cell_angle_alpha 90.00
_cell_angle_beta 90.00
_cell_angle_gamma 105.44
loop_
_atom_site_label
_atom_site_fract_x
_atom_site_fract_y
_atom_site_fract_z
Pm1 0.385 0.769 0.024
Pm2 0.725 0.449 0.814
Pm3 0.483 0.966 0.744
Pm4 0.294 0.589 0.704
Pm5 0.985 0.970 0.518
Pm6 0.615 0.231 0.524
Pm7 0.275 0.551 0.314
Pm8 0.517 0.034 0.244
Pm9 0.706 0.411 0.204
Pm10 0.015 0.030 0.018
Pr1 0.885 0.769 0.814
Pr2 0.115 0.230 0.733
Pr3 0.115 0.231 0.314
Pr4 0.885 0.770 0.233
Er1 0.595 0.191 0.961
Er2 0.405 0.809 0.461
Th1 0.801 0.603 0.512
Th2 0.199 0.397 0.012
# E_form: 0.146 eV per atom
# Density of states at the Fermi level: 26.1 states/eV per cell


Record 7
# KYAs2Pt4 | Alexandria | GGA-PBE | relaxed
data_KYAs2Pt4
_space_group_name_H-M_alt 'P 1'
_space_group_IT_number 1
_space_group_name_Hall 'P 1'
_cell_length_a 4.052
_cell_length_b 4.052
_cell_length_c 10.991
_cell_angle_alpha 90.00
_cell_angle_beta 90.00
_cell_angle_gamma 90.00
loop_
_atom_site_label
_atom_site_fract_x
_atom_site_fract_y
_atom_site_fract_z
K1 0.000 0.000 0.500
Y1 0.000 0.000 0.000
As1 0.500 0.500 0.323
As2 0.500 0.500 0.677
Pt1 0.000 0.500 0.194
Pt2 0.500 0.000 0.806
Pt3 0.500 0.000 0.194
Pt4 0.000 0.500 0.806
# E_form: -0.654 eV per atom
# Density of states at the Fermi level: 4.2 states/eV per cell


Record 8
# Ac6CoAu2I3 | Alexandria | GGA-PBE | relaxed
data_Ac6CoAu2I3
_space_group_name_H-M_alt 'P 1'
_space_group_IT_number 1
_space_group_name_Hall 'P 1'
_cell_length_a 7.828
_cell_length_b 7.828
_cell_length_c 8.951
_cell_angle_alpha 98.40
_cell_angle_beta 98.40
_cell_angle_gamma 119.95
loop_
_atom_site_label
_atom_site_fract_x
_atom_site_fract_y
_atom_site_fract_z
Ac1 0.938 0.628 0.813
Ac2 0.753 0.753 0.188
Ac3 0.062 0.372 0.187
Ac4 0.628 0.938 0.813
Ac5 0.247 0.247 0.812
Ac6 0.372 0.062 0.187
Co1 0.000 0.000 0.000
Au1 0.333 0.667 0.000
Au2 0.667 0.333 0.000
I1 0.166 0.834 0.500
I2 0.834 0.166 0.500
I3 0.500 0.500 0.500
# Density of states at the Fermi level: 6.6 states/eV per cell
# E_form (uncorrected): -975 kJ/mol of formula units


Record 9
# HoThRhAu | Alexandria | GGA-PBE | relaxed
data_HoThRhAu
_space_group_name_H-M_alt 'P 1'
_space_group_IT_number 1
_space_group_name_Hall 'P 1'
_cell_length_a 5.074
_cell_length_b 5.074
_cell_length_c 5.074
_cell_angle_alpha 60.00
_cell_angle_beta 60.00
_cell_angle_gamma 60.00
loop_
_atom_site_label
_atom_site_fract_x
_atom_site_fract_y
_atom_site_fract_z
Rh1 0.750 0.750 0.750
Au1 0.250 0.250 0.250
Ho1 0.000 0.000 0.000
Th1 0.500 0.500 0.500
# E_form: -0.727 eV per atom
# Polymorph energy (0 for the lowest one): 180 meV/atom
# Density of states at the Fermi level: 3.4 states/eV per cell


Record 10
# HPd3Pt | Alexandria | GGA-PBE | relaxed
data_HPd3Pt
_space_group_name_H-M_alt 'P 1'
_space_group_IT_number 1
_space_group_name_Hall 'P 1'
_cell_length_a 4.917
_cell_length_b 5.657
_cell_length_c 4.920
_cell_angle_alpha 90.00
_cell_angle_beta 109.69
_cell_angle_gamma 90.00
loop_
_atom_site_label
_atom_site_fract_x
_atom_site_fract_y
_atom_site_fract_z
H1 0.964 0.250 0.527
H2 0.036 0.750 0.473
Pd1 0.746 0.000 0.246
Pd2 0.254 0.000 0.754
Pd3 0.746 0.500 0.246
Pd4 0.254 0.500 0.754
Pd5 0.251 0.250 0.249
Pd6 0.749 0.750 0.751
Pt1 0.746 0.250 0.755
Pt2 0.254 0.750 0.245
# Polymorph energy (0 for the lowest one): 14 meV/atom
# Density of states at the Fermi level: 16.6 states/eV per cell


Record 11
# AlAg2Pb | Alexandria | GGA-PBE | relaxed
data_AlAg2Pb
_space_group_name_H-M_alt 'P 1'
_space_group_IT_number 1
_space_group_name_Hall 'P 1'
_cell_length_a 5.918
_cell_length_b 5.918
_cell_length_c 5.918
_cell_angle_alpha 149.49
_cell_angle_beta 125.27
_cell_angle_gamma 63.96
loop_
_atom_site_label
_atom_site_fract_x
_atom_site_fract_y
_atom_site_fract_z
Pb1 0.750 0.250 0.500
Al1 0.250 0.750 0.500
Ag1 0.031 0.031 0.000
Ag2 0.469 0.469 0.000
# E_form: 0.154 eV per atom
# Polymorph energy (0 for the lowest one): 113 meV/atom
# Density of states at the Fermi level: 1.4 states/eV per cell


Record 12
# Ni5Ir4W | Alexandria | GGA-PBE | relaxed
data_Ni5Ir4W
_space_group_name_H-M_alt 'P 1'
_space_group_IT_number 1
_space_group_name_Hall 'P 1'
_cell_length_a 4.522
_cell_length_b 5.234
_cell_length_c 6.472
_cell_angle_alpha 91.40
_cell_angle_beta 117.21
_cell_angle_gamma 105.02
loop_
_atom_site_label
_atom_site_fract_x
_atom_site_fract_y
_atom_site_fract_z
Ni1 0.300 0.207 0.597
Ni2 0.094 0.396 0.194
Ni3 0.906 0.604 0.806
Ni4 0.500 0.500 0.000
Ni5 0.700 0.793 0.403
Ir1 0.699 0.304 0.398
Ir2 0.097 0.892 0.204
Ir3 0.301 0.696 0.602
Ir4 0.903 0.108 0.796
W1 0.500 0.000 0.000
# E_form: -0.058 eV per atom
# Density of states at the Fermi level: 14.8 states/eV per cell


Record 13
# ErCuNi | Alexandria | GGA-PBE | relaxed
data_ErCuNi
_space_group_name_H-M_alt 'P 1'
_space_group_IT_number 1
_space_group_name_Hall 'P 1'
_cell_length_a 4.860
_cell_length_b 7.464
_cell_length_c 6.703
_cell_angle_alpha 83.22
_cell_angle_beta 68.75
_cell_angle_gamma 71.00
loop_
_atom_site_label
_atom_site_fract_x
_atom_site_fract_y
_atom_site_fract_z
Er1 0.483 0.760 0.275
Er2 0.243 0.240 0.275
Er3 0.757 0.760 0.725
Er4 0.517 0.240 0.725
Cu1 0.825 0.000 0.349
Cu2 0.907 0.186 0.000
Cu3 0.093 0.814 0.000
Cu4 0.175 0.000 0.651
Ni1 0.022 0.614 0.341
Ni2 0.636 0.386 0.341
Ni3 0.364 0.614 0.659
Ni4 0.978 0.386 0.659
# E_form: -0.121 eV per atom
# Density of states at the Fermi level: 7.6 states/eV per cell


Record 14
# K4AgW | Alexandria | GGA-PBE | relaxed
data_K4AgW
_space_group_name_H-M_alt 'P 1'
_space_group_IT_number 1
_space_group_name_Hall 'P 1'
_cell_length_a 7.072
_cell_length_b 7.072
_cell_length_c 7.072
_cell_angle_alpha 60.00
_cell_angle_beta 60.00
_cell_angle_gamma 60.00
loop_
_atom_site_label
_atom_site_fract_x
_atom_site_fract_y
_atom_site_fract_z
K1 0.874 0.375 0.375
K2 0.375 0.375 0.874
K3 0.375 0.874 0.375
K4 0.375 0.375 0.375
Ag1 0.000 0.000 0.000
W1 0.750 0.750 0.750
# E_form: 1.315 eV per atom
# Density of states at the Fermi level: 2.7 states/eV per cell


Record 15
# Mg5Cd2GePd2 | Alexandria | GGA-PBE | relaxed
data_Mg5Cd2GePd2
_space_group_name_H-M_alt 'P 1'
_space_group_IT_number 1
_space_group_name_Hall 'P 1'
_cell_length_a 3.282
_cell_length_b 11.083
_cell_length_c 11.083
_cell_angle_alpha 90.00
_cell_angle_beta 90.00
_cell_angle_gamma 90.00
loop_
_atom_site_label
_atom_site_fract_x
_atom_site_fract_y
_atom_site_fract_z
Mg1 0.500 0.199 0.063
Mg2 0.500 0.801 0.937
Mg3 0.500 0.063 0.801
Mg4 0.500 0.699 0.437
Mg5 0.500 0.937 0.199
Mg6 0.500 0.301 0.563
Mg7 0.500 0.563 0.699
Mg8 0.500 0.437 0.301
Mg9 0.500 0.500 0.000
Mg10 0.500 0.000 0.500
Cd1 0.000 0.671 0.171
Cd2 0.000 0.329 0.829
Cd3 0.000 0.171 0.329
Cd4 0.000 0.829 0.671
Ge1 0.000 0.000 0.000
Ge2 0.000 0.500 0.500
Pd1 0.000 0.133 0.633
Pd2 0.000 0.867 0.367
Pd3 0.000 0.633 0.867
Pd4 0.000 0.367 0.133
# E_form: -0.312 eV per atom
# Density of states at the Fermi level: 5.2 states/eV per cell


Record 16
# Ac8InCo2 | Alexandria | GGA-PBE | relaxed
data_Ac8InCo2
_space_group_name_H-M_alt 'P 1'
_space_group_IT_number 1
_space_group_name_Hall 'P 1'
_cell_length_a 6.032
_cell_length_b 8.647
_cell_length_c 8.647
_cell_angle_alpha 115.19
_cell_angle_beta 97.56
_cell_angle_gamma 97.56
loop_
_atom_site_label
_atom_site_fract_x
_atom_site_fract_y
_atom_site_fract_z
Ac1 0.572 0.341 0.080
Ac2 0.572 0.080 0.341
Ac3 0.197 0.392 0.392
Ac4 0.000 0.247 0.759
Ac5 0.000 0.759 0.247
Ac6 0.803 0.614 0.614
Ac7 0.428 0.926 0.665
Ac8 0.428 0.665 0.926
In1 0.000 0.003 0.003
Co1 0.500 0.721 0.285
Co2 0.500 0.285 0.721
# E_form: 0.015 eV per atom
# Polymorph energy (0 for the lowest one): 0 meV/atom
# Density of states at the Fermi level: 13.0 states/eV per cell


Record 17
# PaFe5Ge2 | Alexandria | GGA-PBE | relaxed
data_PaFe5Ge2
_space_group_name_H-M_alt 'P 1'
_space_group_IT_number 1
_space_group_name_Hall 'P 1'
_cell_length_a 3.679
_cell_length_b 6.043
_cell_length_c 6.043
_cell_angle_alpha 67.54
_cell_angle_beta 72.28
_cell_angle_gamma 72.28
loop_
_atom_site_label
_atom_site_fract_x
_atom_site_fract_y
_atom_site_fract_z
Pa1 0.000 0.000 0.000
Fe1 0.000 0.500 0.500
Fe2 0.626 0.560 0.188
Fe3 0.374 0.440 0.812
Fe4 0.374 0.812 0.440
Fe5 0.626 0.188 0.560
Ge1 0.749 0.751 0.751
Ge2 0.251 0.249 0.249
# E_form: -0.116 eV per atom
# Density of states at the Fermi level: 9.4 states/eV per cell


Record 18
# BaCdNiAg2 | Alexandria | GGA-PBE | relaxed
data_BaCdNiAg2
_space_group_name_H-M_alt 'P 1'
_space_group_IT_number 1
_space_group_name_Hall 'P 1'
_cell_length_a 5.111
_cell_length_b 5.111
_cell_length_c 4.987
_cell_angle_alpha 90.00
_cell_angle_beta 90.00
_cell_angle_gamma 90.00
loop_
_atom_site_label
_atom_site_fract_x
_atom_site_fract_y
_atom_site_fract_z
Ni1 0.000 0.000 0.000
Ba1 0.500 0.500 0.500
Ag1 0.000 0.500 0.000
Ag2 0.500 0.000 0.000
Cd1 0.000 0.000 0.500
# E_form: 0.001 eV per atom
# Density of states at the Fermi level: 2.8 states/eV per cell


Record 19
# RbTeI2Br | Alexandria | GGA-PBE | relaxed
data_RbTeI2Br
_space_group_name_H-M_alt 'P 1'
_space_group_IT_number 1
_space_group_name_Hall 'P 1'
_cell_length_a 6.353
_cell_length_b 6.353
_cell_length_c 5.608
_cell_angle_alpha 90.00
_cell_angle_beta 90.00
_cell_angle_gamma 90.00
loop_
_atom_site_label
_atom_site_fract_x
_atom_site_fract_y
_atom_site_fract_z
I1 0.000 0.500 0.000
I2 0.500 0.000 0.000
Te1 0.000 0.000 0.000
Br1 0.000 0.000 0.500
Rb1 0.500 0.500 0.500
# Polymorph energy (0 for the lowest one): 0 meV/atom
# Density of states at the Fermi level: 3.6 states/eV per cell
# E_form (uncorrected): -316 kJ/mol of formula units


no.,V (Å³ per cell)
1,192.7
2,183.8
3,324.6
4,108.1
5,3952.2
6,627.6
7,180.5
8,454.6
9,92.4
10,128.9
11,85.0
12,129.7
13,214.3
14,250.1
15,403.2
16,395.6
17,115.6
18,130.3
19,226.3